Record 1
BeBiTe after structural relaxation. Source: the Alexandria database, functional PBE.

The structure belongs to space group Cm (No. 8); the cell edges are 7.071, 4.082 and 13.501 Å and the angles 90.00°, 99.89° and 90.00°. The distinct sites, in fractional coordinates, are Be at (0.000, 0.000, 0.000), Be at (0.206, 0.500, 0.124), Bi at (0.208, 0.000, 0.632), Bi at (0.495, 0.000, 0.493), Te at (0.061, 0.000, 0.190) and Te at (0.145, 0.500, 0.935).

Its total energy is -44.5 eV per cell. The calculation puts the uncorrected formation energy at -125 meV per atom.

***

Record 2
BeBi2Te after structural relaxation. Source: the Alexandria database, functional PBE.

The structure belongs to space group I-42d (No. 122); the cell edges are 6.487, 6.487 and 12.701 Å and the angles 90.00°, 90.00° and 90.00°. The distinct sites, in fractional coordinates, are Be at (0.000, 0.000, 0.000), Bi at (0.166, 0.250, 0.125) and Te at (0.000, 0.000, 0.500).

Its total energy is -53.2 eV per cell. The calculation puts the uncorrected formation energy at 330 meV per atom. Its energy above the most stable polymorph in this dataset is 0 kJ/mol of formula units.

***

> uncorrected formation energy of number 1 (BeBiTe)?

-125 meV per atom

***

> Which formula does entry 2 have?

BeBi2Te